No. 1
Entry from the Alexandria database: ZrZn5 after structural relaxation (GGA-PBE).

abc: 2.9162 2.9162 13.5280
angles: 90.00 90.00 120.00
With the nearest neighbours (Å) after each atom.
Positions (direct):
1 Zr 0.0000 0.0000 0.0000  6 Zr 2.92, 6 Zn 2.99
2 Zn 0.0000 0.0000 0.3416  12 Zn 2.73-2.92
3 Zn 0.0000 0.0000 0.6584  12 Zn 2.73-2.92
4 Zn 0.3333 0.6667 0.1826  9 Zn 2.73-2.92, 3 Zr 2.99
5 Zn 0.3333 0.6667 0.5000  12 Zn 2.73-2.92
6 Zn 0.3333 0.6667 0.8174  9 Zn 2.73-2.92, 3 Zr 2.99

Computed properties:
Symmetry   No. 187
Energy   -2.494 eV per atom
Energy of formation   -0.0072 eV per atom

---

No. 2
Entry from the Alexandria database: ReBC2F after structural relaxation (GGA-PBE).

abc: 3.9061 3.9061 2.9476
angles: 90.00 90.00 90.00
With the nearest neighbours (Å) after each atom.
Positions (direct):
1 Re 0.0000 0.0000 0.0000  8 C 2.45
2 B 0.5000 0.5000 0.0000  2 F 1.47
3 C 0.0000 0.5000 0.5000  2 F 1.95
4 C 0.5000 0.0000 0.5000  2 F 1.95
5 F 0.5000 0.5000 0.5000  2 B 1.47

Computed properties:
Symmetry   No. 123
Energy relative to the elements, uncorrected   2.3952 eV/atom
Energy   -5.494 eV per atom

---

No. 3
Entry from the Alexandria database: BaSc2Cd2 after structural relaxation (GGA-PBE).

abc: 7.1497 7.1497 7.1497
angles: 139.38 139.38 58.79
With the nearest neighbours (Å) after each atom.
Positions (direct):
1 Ba 0.0000 0.0000 0.0000  8 Cd 3.79, 8 Sc 3.98
2 Sc 0.2500 0.7500 0.5000  4 Cd 3.00
3 Sc 0.7500 0.2500 0.5000  4 Cd 3.00
4 Cd 0.3854 0.3854 0.0000  1 Cd 2.86, 4 Sc 3.00
5 Cd 0.6146 0.6146 0.0000  1 Cd 2.86, 4 Sc 3.00

Computed properties:
Symmetry   No. 139
Energy   -3.311 eV per atom
Energy of formation   -0.0280 eV per atom

---

No. 4
Entry from the Alexandria database: La2YHg2 after structural relaxation (GGA-PBE).

abc: 7.9293 7.9293 7.9293
angles: 144.71 144.71 50.76
With the nearest neighbours (Å) after each atom.
Positions (direct):
1 La 0.1067 0.1067 0.0000  1 La 3.06, 4 Hg 3.16
2 La 0.8933 0.8933 0.0000  1 La 3.06, 4 Hg 3.16
3 Y 0.5000 0.5000 0.0000  8 La 3.73
4 Hg 0.2500 0.7500 0.5000  4 La 3.16, 4 Hg 3.40
5 Hg 0.7500 0.2500 0.5000  4 La 3.16, 4 Hg 3.40

Computed properties:
Symmetry   No. 139
Energy   -3.396 eV per atom
Energy of formation   -0.0111 eV per atom

---

No. 5
Entry from the Alexandria database: K2Cr2Ga after structural relaxation (GGA-PBE).

abc: 12.3037 12.3037 12.3037
angles: 165.09 165.09 21.14
With the nearest neighbours (Å) after each atom.
Positions (direct):
1 K 0.1178 0.1178 0.0000  4 K 3.19, 4 Cr 3.57
2 K 0.8822 0.8822 0.0000  4 K 3.19, 4 Cr 3.57
3 Cr 0.2500 0.7500 0.5000  4 Cr 2.26
4 Cr 0.7500 0.2500 0.5000  4 Cr 2.26
5 Ga 0.5000 0.5000 0.0000  4 Ga 3.19

Computed properties:
Symmetry   No. 139
Energy   -4.107 eV per atom
Energy of formation   0.7870 eV per atom

---

No. 6
Entry from the Alexandria database: Ba2Na9Ca after structural relaxation (GGA-PBE).

abc: 11.9288 11.9288 11.9288
angles: 35.17 35.17 35.17
With the nearest neighbours (Å) after each atom.
Positions (direct):
1 Ba 0.1386 0.1386 0.1386  12 Na 4.08-4.32, 3 Ba 4.57
2 Ba 0.8614 0.8614 0.8614  12 Na 4.08-4.32, 3 Ba 4.57
3 Na 0.0751 0.5844 0.5844  7 Na 3.43-3.67
4 Na 0.3342 0.3342 0.3342  6 Na 3.43
5 Na 0.4156 0.4156 0.9249  7 Na 3.43-3.67
6 Na 0.4156 0.9249 0.4156  7 Na 3.43-3.67
7 Na 0.5000 0.5000 0.5000  6 Na 3.56
8 Na 0.5844 0.0751 0.5844  7 Na 3.43-3.67
9 Na 0.5844 0.5844 0.0751  7 Na 3.43-3.67
10 Na 0.6658 0.6658 0.6658  6 Na 3.43
11 Na 0.9249 0.4156 0.4156  7 Na 3.43-3.67
12 Ca 0.0000 0.0000 0.0000  18 Na 4.16-4.52, 2 Ba 4.65

Computed properties:
Symmetry   No. 166
Energy   -1.435 eV per atom
Energy of formation   0.0417 eV per atom

---

no.,calculated volume (Å³/cell),N(E_F) (states/eV per cell)
1,100,2.54
2,45,1.99
3,153,5.05
4,166,4.90
5,123,5.15
6,503,8.55